VASP calculation (GGA-PBE) on crystalline BeAu2Br at its relaxed geometry.

Cell lengths 2.8654, 2.8654, 9.7030 Å; angles 90.00, 90.00, 90.15 degrees
Positions (direct):
Br 0.5000 0.5000 0.7500
Be 0.5000 0.5000 0.2500
Au 0.0000 0.0000 0.0953
Au 0.0000 0.0000 0.4047

Computed properties:
The formation energy (no corrections) is 0.09 eV/atom. The polymorph energy (0 for the lowest one) comes out at 202.9 meV per atom. As for the volume: 79.7 Å³/f.u.